# 1
Computed, not measured: crystalline Sr2P at its relaxed geometry at the PBE level of DFT.

Density (Mg/m³): 2.9
Total magnetic moment (μB per formula unit): 0.3
Uncorrected energy (eV per formula unit): -11.00

Lattice parameters (Å, degrees): 15.335 4.106 8.935 90.00 123.43 90.00
Space group C2/m (No. 12)
Symmetry-distinct sites (fractional):
Sr 0.097 0.000 0.215 [4 per cell]
Sr 0.158 0.000 0.784 [4 per cell]
P 0.104 0.500 0.959 [4 per cell]

=====

# 2
Computed, not measured: crystalline K2Tm2PtO6 at its relaxed geometry at the PBE level of DFT.

Density (Mg/m³): 6.6
Formation energy (no corrections) (eV/atom): -2.21
Total magnetic moment (μB per formula unit): 0.0
Uncorrected energy (eV per formula unit): -71.24

Lattice parameters (Å, degrees): 5.730 9.848 6.584 90.00 105.36 90.00
Space group C2/m (No. 12)
Symmetry-distinct sites (fractional):
K 0.000 0.161 0.000 [4 per cell]
Tm 0.000 0.335 0.500 [4 per cell]
Pt 0.000 0.000 0.500 [2 per cell]
O 0.209 0.159 0.673 [8 per cell]
O 0.243 0.500 0.676 [4 per cell]

=====

# 3
Computed, not measured: crystalline DyTi2Ni3 at its relaxed geometry at the PBE level of DFT.

Density (Mg/m³): 7.3
Total magnetic moment (μB per formula unit): 0.0
Uncorrected energy (eV per formula unit): -39.44

Lattice parameters (Å, degrees): 9.711 7.387 5.483 90.00 90.00 90.00
Space group Cmcm (No. 63)
Symmetry-distinct sites (fractional):
Dy 0.000 0.169 0.250 [4 per cell]
Ti 0.209 0.500 0.000 [8 per cell]
Ni 0.000 0.449 0.750 [4 per cell]
Ni 0.147 0.193 0.750 [8 per cell]

=====

# 4
Computed, not measured: crystalline InP2Br at its relaxed geometry at the PBE level of DFT.

Density (Mg/m³): 3.7
Formation energy (no corrections) (eV/atom): -0.11
Total magnetic moment (μB per formula unit): 0.0
Uncorrected energy (eV per formula unit): -15.67

Lattice parameters (Å, degrees): 3.4865 3.4865 32.5914 90.00 90.00 120.00
Space group R3m (No. 160, hexagonal axes)
Symmetry-distinct sites (fractional):
In 0.0000 0.0000 0.0000 [3 per cell]
P 0.0000 0.0000 0.4855 [3 per cell]
P 0.0000 0.0000 0.7822 [3 per cell]
Br 0.0000 0.0000 0.2706 [3 per cell]

=====

# 5
Computed, not measured: crystalline NiHgP2 at its relaxed geometry at the PBE level of DFT.

Density (Mg/m³): 6.2
Total magnetic moment (μB per formula unit): 0.0
Uncorrected energy (eV per formula unit): -17.11

Lattice parameters (Å, degrees): 4.254 3.208 6.399 90.00 99.76 90.00
Space group Pm (No. 6)
Symmetry-distinct sites (fractional):
Ni 0.000 0.000 0.000 [1 per cell]
Hg 0.069 0.500 0.339 [1 per cell]
P 0.166 0.500 0.772 [1 per cell]
P 0.487 0.000 0.901 [1 per cell]

=====

# 6
Computed, not measured: crystalline K2GaHg3 at its relaxed geometry at the PBE level of DFT.

Density (Mg/m³): 6.3
Total magnetic moment (μB per formula unit): 0.0
Uncorrected energy (eV per formula unit): -7.20

Lattice parameters (Å, degrees): 8.564 10.297 17.811 90.00 90.00 90.00
Space group Fmmm (No. 69)
Symmetry-distinct sites (fractional):
K 0.236 0.000 0.000 [8 per cell]
K 0.250 0.250 0.250 [8 per cell]
Ga 0.000 0.000 0.333 [8 per cell]
Hg 0.000 0.000 0.174 [8 per cell]
Hg 0.000 0.236 0.414 [16 per cell]

=====

Please write out number 5 again, unchanged.
Computed, not measured: crystalline NiHgP2 at its relaxed geometry at the PBE level of DFT.

Density (Mg/m³): 6.2
Total magnetic moment (μB per formula unit): 0.0
Uncorrected energy (eV per formula unit): -17.11

Lattice parameters (Å, degrees): 4.254 3.208 6.399 90.00 99.76 90.00
Space group Pm (No. 6)
Symmetry-distinct sites (fractional):
Ni 0.000 0.000 0.000 [1 per cell]
Hg 0.069 0.500 0.339 [1 per cell]
P 0.166 0.500 0.772 [1 per cell]
P 0.487 0.000 0.901 [1 per cell]

=====

What did the second record say?
Computed, not measured: crystalline K2Tm2PtO6 at its relaxed geometry at the PBE level of DFT.

Density (Mg/m³): 6.6
Formation energy (no corrections) (eV/atom): -2.21
Total magnetic moment (μB per formula unit): 0.0
Uncorrected energy (eV per formula unit): -71.24

Lattice parameters (Å, degrees): 5.730 9.848 6.584 90.00 105.36 90.00
Space group C2/m (No. 12)
Symmetry-distinct sites (fractional):
K 0.000 0.161 0.000 [4 per cell]
Tm 0.000 0.335 0.500 [4 per cell]
Pt 0.000 0.000 0.500 [2 per cell]
O 0.209 0.159 0.673 [8 per cell]
O 0.243 0.500 0.676 [4 per cell]

=====

What is the formula in the fourth record?
InP2Br